K2SbTe (PBEsol, relaxed); total magnetic moment = 0.0 Bohr magnetons per cell; SG = R-3m (166); E_tot = -11.6 eV for the cell shown; DOS(E_F) = 0.4495 states/eV/atom; formation energy without anion corrections = -0.312 eV/atom
1.0
1.8411 1.0629 11.0468
-1.8411 1.0629 11.0468
0.0000 -2.1259 11.0468
K Sb Te
2 1 1
direct
0.2483 0.2483 0.2483 K
0.7517 0.7517 0.7517 K
0.0000 0.0000 0.0000 Sb
0.5000 0.5000 0.5000 Te


La2YGa2 (PBEsol, relaxed); total magnetic moment = 0.0 Bohr magnetons per cell; SG = P4/mbm (127); E_tot = -53.4 eV for the cell shown; DOS(E_F) = 1.2995 states/eV/atom
1.0
7.7251 0.0000 0.0000
0.0000 7.7251 0.0000
0.0000 0.0000 4.5746
La Y Ga
4 2 4
direct
0.1723 0.3277 0.0000 La
0.3277 0.8277 0.0000 La
0.6723 0.1723 0.0000 La
0.8277 0.6723 0.0000 La
0.0000 0.0000 0.5000 Y
0.5000 0.5000 0.5000 Y
0.1198 0.6198 0.5000 Ga
0.3802 0.1198 0.5000 Ga
0.6198 0.8802 0.5000 Ga
0.8802 0.3802 0.5000 Ga


IrPbCl2 (PBEsol, relaxed); total magnetic moment = 0.0 Bohr magnetons per cell; SG = Imm2 (44); E_tot = -17.2 eV for the cell shown; DOS(E_F) = 0.5012 states/eV/atom; formation energy without anion corrections = 0.150 eV/atom
1.0
-1.5673 2.0239 6.9319
1.5673 -2.0239 6.9319
1.5673 2.0239 -6.9319
Ir Pb Cl
1 1 2
direct
0.0000 0.0000 0.0000 Ir
0.1707 0.6707 0.5000 Pb
0.4835 0.4835 0.0000 Cl
0.7755 0.2755 0.5000 Cl


SrMg2Bi2 (PBEsol, relaxed); total magnetic moment = 0.0 Bohr magnetons per cell; SG = I4/mmm (139); E_tot = -16.5 eV for the cell shown; DOS(E_F) = 0.0610 states/eV/atom
1.0
-2.2690 2.2690 7.3859
2.2690 -2.2690 7.3859
2.2690 2.2690 -7.3859
Sr Mg Bi
1 2 2
direct
0.0000 0.0000 0.0000 Sr
0.2500 0.7500 0.5000 Mg
0.7500 0.2500 0.5000 Mg
0.3794 0.3794 0.0000 Bi
0.6206 0.6206 0.0000 Bi


AlAs2Os (PBEsol, relaxed); total magnetic moment = 0.0 Bohr magnetons per cell; SG = R3m (160); E_tot = -26.6 eV for the cell shown; DOS(E_F) = 0.3137 states/eV/atom
1.0
1.4621 0.8442 9.2441
-1.4621 0.8442 9.2441
0.0000 -1.6883 9.2441
Al As Os
1 2 1
direct
0.0000 0.0000 0.0000 Al
0.5281 0.5281 0.5281 As
0.7444 0.7444 0.7444 As
0.2613 0.2613 0.2613 Os


TaCr2Tc (PBEsol, relaxed); total magnetic moment = 0.0 Bohr magnetons per cell; SG = R3m (160); E_tot = -43.0 eV for the cell shown; DOS(E_F) = 1.0401 states/eV/atom
1.0
1.4069 0.8123 8.0796
-1.4069 0.8123 8.0796
0.0000 -1.6245 8.0796
Ta Cr Tc
1 2 1
direct
0.0000 0.0000 0.0000 Ta
0.2444 0.2444 0.2444 Cr
0.5080 0.5080 0.5080 Cr
0.7614 0.7614 0.7614 Tc


Rb2NbCl (PBEsol, relaxed); total magnetic moment = 7.3 Bohr magnetons per cell; SG = I-42d (122); E_tot = -26.8 eV for the cell shown; DOS(E_F) = 0.5793 states/eV/atom; formation energy without anion corrections = 0.374 eV/atom
1.0
-6.2972 6.2972 2.4288
6.2972 -6.2972 2.4288
6.2972 6.2972 -2.4288
Rb Nb Cl
4 2 2
direct
0.3750 0.0420 0.1670 Rb
0.7920 0.6250 0.6670 Rb
0.8750 0.2080 0.8330 Rb
0.9580 0.1250 0.3330 Rb
0.2500 0.7500 0.5000 Nb
0.5000 0.5000 0.0000 Nb
0.0000 0.0000 0.0000 Cl
0.7500 0.2500 0.5000 Cl


K2ZnRe (PBEsol, relaxed); total magnetic moment = 0.0 Bohr magnetons per cell; SG = Pmmm (47); E_tot = -12.3 eV for the cell shown; DOS(E_F) = 0.7768 states/eV/atom
1.0
2.6932 0.0000 0.0000
0.0000 5.5999 0.0000
0.0000 0.0000 5.6236
K Zn Re
2 1 1
direct
0.0000 0.2485 0.0000 K
0.0000 0.7515 0.0000 K
0.5000 0.5000 0.5000 Zn
0.5000 0.0000 0.5000 Re